{
  "formula": "CdIn6Hg23",
  "functional": "PBE",
  "state": "relaxed",
  "e_tot_ev_per_atom": -0.790,
  "sg": "Fm-3m",
  "rho_kg_m3": 10946,
  "lattice_angstrom": [[0.000, 7.433, 7.433], [7.433, 0.000, 7.433], [7.433, 7.433, 0.000]],
  "species": ["Cd", "In", "In", "In", "In", "In", "In", "Hg", "Hg", "Hg", "Hg", "Hg", "Hg", "Hg", "Hg", "Hg", "Hg", "Hg", "Hg", "Hg", "Hg", "Hg", "Hg", "Hg", "Hg", "Hg", "Hg", "Hg", "Hg", "Hg"],
  "fractional_positions": [[0.000, 0.000, 0.000], [0.253, 0.253, 0.747], [0.253, 0.747, 0.253], [0.253, 0.747, 0.747], [0.747, 0.253, 0.253], [0.747, 0.253, 0.747], [0.747, 0.747, 0.253], [0.000, 0.000, 0.500], [0.000, 0.500, 0.000], [0.000, 0.500, 0.500], [0.108, 0.631, 0.631], [0.127, 0.127, 0.127], [0.127, 0.127, 0.620], [0.127, 0.620, 0.127], [0.369, 0.369, 0.369], [0.369, 0.369, 0.892], [0.369, 0.892, 0.369], [0.380, 0.873, 0.873], [0.500, 0.000, 0.000], [0.500, 0.000, 0.500], [0.500, 0.500, 0.000], [0.500, 0.500, 0.500], [0.620, 0.127, 0.127], [0.631, 0.108, 0.631], [0.631, 0.631, 0.108], [0.631, 0.631, 0.631], [0.873, 0.380, 0.873], [0.873, 0.873, 0.380], [0.873, 0.873, 0.873], [0.892, 0.369, 0.369]]
}

{
  "formula": "CdIn5Hg",
  "functional": "PBE",
  "state": "relaxed",
  "e_tot_ev_per_atom": -2.040,
  "sg": "Imm2",
  "e_above_lowest_polymorph_mev_per_atom": 40,
  "rho_kg_m3": 7484,
  "lattice_angstrom": [[-3.038, 3.165, 5.118], [3.038, -3.165, 5.118], [3.038, 3.165, -5.118]],
  "species": ["Cd", "In", "In", "In", "In", "In", "Hg"],
  "fractional_positions": [[0.000, 0.000, 0.000], [0.368, 0.128, 0.759], [0.368, 0.609, 0.241], [0.420, 0.656, 0.764], [0.891, 0.656, 0.236], [0.899, 0.399, 0.500], [0.620, 0.120, 0.500]]
}

{
  "formula": "Cd11InHg",
  "functional": "PBE",
  "state": "relaxed",
  "e_tot_ev_per_atom": -0.956,
  "sg": "C2/m",
  "rho_kg_m3": 8214,
  "lattice_angstrom": [[3.036, -7.177, 0.000], [3.036, 7.177, 0.000], [-2.938, 0.000, 7.200]],
  "species": ["Cd", "Cd", "Cd", "Cd", "Cd", "Cd", "Cd", "Cd", "Cd", "Cd", "Cd", "In", "Hg"],
  "fractional_positions": [[0.000, 0.000, 0.000], [0.000, 0.500, 0.500], [0.008, 0.655, 0.149], [0.287, 0.500, 0.288], [0.345, 0.992, 0.851], [0.500, 0.000, 0.500], [0.500, 0.287, 0.288], [0.500, 0.713, 0.712], [0.655, 0.008, 0.149], [0.713, 0.500, 0.712], [0.992, 0.345, 0.851], [0.000, 0.000, 0.500], [0.500, 0.500, 0.000]]
}

{
  "formula": "Cd4InHg",
  "functional": "PBE",
  "state": "relaxed",
  "e_tot_ev_per_atom": -1.088,
  "sg": "P-1",
  "e_above_lowest_polymorph_mev_per_atom": 0,
  "rho_kg_m3": 8787,
  "lattice_angstrom": [[5.655, 0.000, 0.000], [0.510, 5.767, 0.000], [2.752, 2.609, 8.865]],
  "species": ["Cd", "Cd", "Cd", "Cd", "Cd", "Cd", "Cd", "Cd", "In", "In", "Hg", "Hg"],
  "fractional_positions": [[0.078, 0.064, 0.335], [0.177, 0.638, 0.168], [0.344, 0.805, 0.832], [0.415, 0.400, 0.664], [0.585, 0.600, 0.336], [0.656, 0.195, 0.168], [0.823, 0.362, 0.832], [0.922, 0.936, 0.665], [0.240, 0.222, 0.000], [0.760, 0.778, 0.000], [0.000, 0.500, 0.500], [0.500, 0.000, 0.500]]
}